Record 1
A plane-wave DFT calculation with SCAN was carried out for a PBEsol-optimized structure of CaNiPt.

The value obtained for the formation energy is -0.59 eV/atom. The calculation puts the density at 8.5 Mg/m³. The magnetization is 0.11 μB per formula unit.

The space group is P-6m2 (No. 187) and the conventional cell measures 4.0773, 4.0773 and 3.9717 Å, with angles of 90.00, 90.00 and 120.00 degrees. The inequivalent atoms are Ca at (0.0000, 0.0000, 0.0000), Ni at (0.3333, 0.6667, 0.5000) and Pt at (0.6667, 0.3333, 0.5000).

---

Record 2
A plane-wave DFT calculation with SCAN was carried out for a PBEsol-optimized structure of CaSiNi2Pt.

The value obtained for the formation energy (no corrections) is -301 meV/atom. The calculation puts the density at 7.5 Mg/m³. The magnetization is 0.00 μB per formula unit.

The space group is P4/mmm (No. 123) and the conventional cell measures 4.292, 4.292 and 4.558 Å, with angles of 90.00, 90.00 and 90.00 degrees. The inequivalent atoms are Ca at (0.000, 0.000, 0.000), Si at (0.500, 0.500, 0.500), Ni at (0.000, 0.500, 0.500) and Pt at (0.500, 0.500, 0.000).

---

Record 3
A plane-wave DFT calculation with SCAN was carried out for a PBEsol-optimized structure of RbCaSi2Ni.

The value obtained for the formation energy (no corrections) is 1737 meV/atom. The calculation puts the density at 2.9 Mg/m³. The magnetization is 0.39 μB per formula unit.

The space group is P4/mmm (No. 123) and the conventional cell measures 5.450, 5.450 and 4.592 Å, with angles of 90.00, 90.00 and 90.00 degrees. The inequivalent atoms are Rb at (0.000, 0.000, 0.000), Ca at (0.500, 0.500, 0.500), Si at (0.000, 0.500, 0.000) and Ni at (0.000, 0.000, 0.500).

---

Record 4
A plane-wave DFT calculation with SCAN was carried out for a PBEsol-optimized structure of RbCaYNi2.

The value obtained for the formation energy is 1.01 eV/atom. The calculation puts the density at 3.8 Mg/m³. The magnetization is 0.47 μB per formula unit.

The space group is P4/mmm (No. 123) and the conventional cell measures 4.975, 4.975 and 5.927 Å, with angles of 90.00, 90.00 and 90.00 degrees. The inequivalent atoms are Rb at (0.000, 0.000, 0.000), Ca at (0.500, 0.500, 0.000), Y at (0.500, 0.500, 0.500) and Ni at (0.000, 0.500, 0.500).

---

Record 5
A plane-wave DFT calculation with SCAN was carried out for a PBEsol-optimized structure of Ca2ReNi.

The value obtained for the formation energy is 0.87 eV/atom. The calculation puts the density at 7.3 Mg/m³. The magnetization is 0.90 μB per formula unit. The distance to the lowest polymorph of the same formula is 441 meV/atom.

The space group is P4/mmm (No. 123) and the conventional cell measures 4.097, 4.097 and 4.398 Å, with angles of 90.00, 90.00 and 90.00 degrees. The inequivalent atoms are Ca at (0.000, 0.500, 0.000), Re at (0.000, 0.000, 0.500) and Ni at (0.500, 0.500, 0.500).

---

Record 6
A plane-wave DFT calculation with SCAN was carried out for a PBEsol-optimized structure of CaRe2Ni2.

The value obtained for the formation energy is 0.25 eV/atom. The calculation puts the density at 11.1 Mg/m³. The magnetization is 0.00 μB per formula unit.

The space group is I4/mmm (No. 139) and the conventional cell measures 3.737, 3.737 and 11.302 Å, with angles of 90.00, 90.00 and 90.00 degrees. The inequivalent atoms are Ca at (0.000, 0.000, 0.000), Re at (0.000, 0.500, 0.250) and Ni at (0.000, 0.000, 0.397).

---

Record 7
A plane-wave DFT calculation with SCAN was carried out for a PBEsol-optimized structure of Ca2ReNi.

The value obtained for the formation energy is 0.92 eV/atom. The calculation puts the density at 6.7 Mg/m³. The magnetization is 3.02 μB per formula unit. The distance to the lowest polymorph of the same formula is 493 meV/atom.

The space group is Fm-3m (No. 225) and the conventional cell measures 6.848, 6.848 and 6.848 Å, with angles of 90.00, 90.00 and 90.00 degrees. The inequivalent atoms are Ca at (0.250, 0.250, 0.250), Re at (0.000, 0.000, 0.000) and Ni at (0.000, 0.000, 0.500).

---

Record 8
A plane-wave DFT calculation with SCAN was carried out for a PBEsol-optimized structure of Ca2ReNi.

The value obtained for the formation energy is 0.43 eV/atom. The calculation puts the density at 6.3 Mg/m³. The magnetization is 0.60 μB per formula unit. The distance to the lowest polymorph of the same formula is 0 meV/atom.

The space group is Cmm2 (No. 35) and the conventional cell measures 4.291, 4.698 and 8.564 Å, with angles of 90.00, 90.00 and 90.00 degrees. The inequivalent atoms are Ca at (0.000, 0.000, 0.000), Ca at (0.000, 0.500, 0.395), Re at (0.000, 0.500, 0.749) and Ni at (0.000, 0.000, 0.631).

---

Record 9
A plane-wave DFT calculation with SCAN was carried out for a PBEsol-optimized structure of Ca2ReNi.

The value obtained for the formation energy is 0.73 eV/atom. The calculation puts the density at 7.2 Mg/m³. The magnetization is 0.00 μB per formula unit. The distance to the lowest polymorph of the same formula is 305 meV/atom.

The space group is Cmmm (No. 65) and the conventional cell measures 6.341, 8.569 and 2.765 Å, with angles of 90.00, 90.00 and 90.00 degrees. The inequivalent atoms are Ca at (0.250, 0.250, 0.000), Re at (0.000, 0.000, 0.500) and Ni at (0.000, 0.500, 0.500).

---

Record 10
A plane-wave DFT calculation with SCAN was carried out for a PBEsol-optimized structure of CaReNiS2.

The value obtained for the formation energy (no corrections) is 1608 meV/atom. The calculation puts the density at 5.6 Mg/m³. The magnetization is 3.96 μB per formula unit.

The space group is P4/mmm (No. 123) and the conventional cell measures 4.905, 4.905 and 4.329 Å, with angles of 90.00, 90.00 and 90.00 degrees. The inequivalent atoms are Ca at (0.000, 0.000, 0.000), Re at (0.500, 0.500, 0.500), Ni at (0.000, 0.000, 0.500) and S at (0.000, 0.500, 0.000).

---

Record 11
A plane-wave DFT calculation with SCAN was carried out for a PBEsol-optimized structure of CaRe2NiSe.

The value obtained for the formation energy (no corrections) is 3116 meV/atom. The calculation puts the density at 9.6 Mg/m³. The magnetization is 3.87 μB per formula unit.

The space group is P4/mmm (No. 123) and the conventional cell measures 4.728, 4.728 and 4.249 Å, with angles of 90.00, 90.00 and 90.00 degrees. The inequivalent atoms are Ca at (0.000, 0.000, 0.000), Re at (0.000, 0.500, 0.000), Ni at (0.000, 0.000, 0.500) and Se at (0.500, 0.500, 0.500).

---

Record 12
A plane-wave DFT calculation with SCAN was carried out for a PBEsol-optimized structure of CaNi2Rh.

The value obtained for the formation energy is 0.18 eV/atom. The calculation puts the density at 7.6 Mg/m³. The magnetization is 1.33 μB per formula unit.

The space group is I4/mmm (No. 139) and the conventional cell measures 4.015, 4.015 and 7.093 Å, with angles of 90.00, 90.00 and 90.00 degrees. The inequivalent atoms are Ca at (0.000, 0.000, 0.000), Ni at (0.000, 0.500, 0.250) and Rh at (0.000, 0.000, 0.500).